Entry from Alexandria: a geometry-optimized SrMnAg2F8 structure (PBE with a Hubbard U).

The space group is I-4m2 (No. 119) and the conventional cell measures 7.154, 7.154 and 7.867 Å, with angles of 90.00, 90.00 and 90.00 degrees. The inequivalent atoms are Sr at (0.000, 0.000, 0.000), Mn at (0.000, 0.500, 0.250), Ag at (0.000, 0.000, 0.500), Ag at (0.000, 0.500, 0.750), F at (0.000, 0.232, 0.284) and F at (0.000, 0.326, 0.968).

Its total energy is -110.4 eV for the cell shown. As for the theoretical density: 4.21 g cm⁻³.